{
  "formula": "BeTlMo",
  "functional": "GGA-PBE",
  "state": "optimized geometry",
  "magnetic_moment_mub_per_cell": 0.0,
  "n_ef_per_ev_fu": 2.0,
  "de_polymorph_mev_per_atom": 123,
  "cell": [[-2.152, -2.048, 0.031], [1.481, 0.636, 2.496], [-4.530, 4.783, 1.470]],
  "species": ["Mo", "Tl", "Be"],
  "fractional_positions": [[0.667, 0.333, 0.300], [0.333, 0.667, 0.674], [0.000, 0.000, 0.025]]
}

---

{
  "formula": "K3PAu",
  "functional": "GGA-PBE",
  "state": "optimized geometry",
  "magnetic_moment_mub_per_cell": 1.0,
  "n_ef_per_ev_fu": 3.4,
  "de_polymorph_mev_per_atom": 249,
  "cell": [[-2.159, -0.240, -5.740], [-2.503, -5.480, 1.170], [-5.171, 2.752, 1.830]],
  "species": ["P", "K", "K", "Au", "K"],
  "fractional_positions": [[0.000, 0.000, 0.000], [0.000, 0.500, 0.000], [0.000, 0.000, 0.500], [0.500, 0.500, 0.500], [0.500, 0.000, 0.000]]
}

---

{
  "formula": "K2Hg2Sb",
  "functional": "GGA-PBE",
  "state": "optimized geometry",
  "magnetic_moment_mub_per_cell": 0.0,
  "n_ef_per_ev_fu": 0.8,
  "de_polymorph_mev_per_atom": 97,
  "cell": [[6.739, 0.000, 0.000], [0.000, 6.739, 0.000], [3.370, 3.370, 4.361]],
  "species": ["K", "Hg", "K", "Hg", "Sb"],
  "fractional_positions": [[0.250, 0.750, 0.500], [0.665, 0.665, 0.669], [0.750, 0.250, 0.500], [0.335, 0.335, 0.331], [0.000, 0.000, 0.000]]
}

---

{
  "formula": "Mg2ScTa",
  "functional": "GGA-PBE",
  "state": "optimized geometry",
  "magnetic_moment_mub_per_cell": 0.0,
  "n_ef_per_ev_fu": 3.5,
  "de_polymorph_mev_per_atom": 179,
  "cell": [[-1.065, 0.240, -5.823], [-3.857, -3.870, -2.290], [1.144, 4.532, 3.640]],
  "species": ["Mg", "Ta", "Mg", "Sc"],
  "fractional_positions": [[0.000, 0.000, 0.000], [0.250, 0.750, 0.500], [0.757, 0.257, 0.500], [0.493, 0.493, 0.000]]
}

---

{
  "formula": "DyScIn3",
  "functional": "GGA-PBE",
  "state": "optimized geometry",
  "final_energy_ev_per_atom": -4.021,
  "magnetic_moment_mub_per_cell": 0.0,
  "n_ef_per_ev_fu": 3.9,
  "cell": [[6.146, 0.000, 0.000], [0.000, 7.102, -0.001], [0.000, -3.550, 6.151]],
  "species": ["Sc", "Dy", "In", "In", "In", "In", "In", "Sc", "Dy", "In"],
  "fractional_positions": [[0.500, 0.000, 0.000], [0.250, 0.333, 0.667], [0.750, 0.198, 0.396], [0.250, 0.802, 0.198], [0.250, 0.396, 0.198], [0.250, 0.802, 0.604], [0.750, 0.604, 0.802], [0.000, 0.000, 0.000], [0.750, 0.667, 0.333], [0.750, 0.198, 0.802]]
}

---

{
  "formula": "InP2SeO",
  "functional": "GGA-PBE",
  "state": "optimized geometry",
  "magnetic_moment_mub_per_cell": 0.6,
  "n_ef_per_ev_fu": 11.0,
  "de_polymorph_mev_per_atom": 1237,
  "cell": [[5.061, 0.000, 0.000], [0.000, 5.217, 0.000], [0.000, 0.000, 5.061]],
  "species": ["P", "Se", "O", "P", "In"],
  "fractional_positions": [[0.500, 0.000, 0.000], [0.000, 0.500, 0.000], [0.500, 0.500, 0.500], [0.000, 0.000, 0.500], [0.000, 0.000, 0.000]]
}